Compound: Rb2MoI6F
Source: Alexandria
Functional: PBE+U
Structure: relaxed

Unit cell a=8.1350 b=8.1350 c=8.1350 alpha=114.71 beta=114.71 gamma=99.44
Closest atoms and distances in Å follow each position.
Sites, in units of the cell vectors:
Rb: 0.2500 0.7500 0.5000  12 I 4.08-4.40
Rb: 0.7500 0.2500 0.5000  12 I 4.08-4.40
Mo: 0.0000 0.0000 0.0000  6 I 2.84-2.91
I: 0.2286 0.2286 0.4572  1 Mo 2.84
I: 0.2286 0.7714 0.0000  1 Mo 2.84
I: 0.2767 0.2767 0.0000  1 F 2.35
I: 0.7233 0.7233 0.0000  1 F 2.35
I: 0.7714 0.2286 0.0000  1 Mo 2.84
I: 0.7714 0.7714 0.5428  1 Mo 2.84
F: 0.5000 0.5000 0.0000  2 I 2.35

## Properties
Total magnetization, μB per atom: 0.33
Final energy, eV per atom: -2.782
Volume, Å³ per cell: 405.15